The following is a PBE calculation of crystalline TbErCd17 at its relaxed geometry, from Alexandria.

- Formation energy: -0.10 eV/atom
- N(E_F): 0.31 states/eV/atom
- Space-group type: No. 160
- Spin magnetization: 0.0 μB per formula unit

The structure in POSCAR format:
```
TbErCd17
1.0
5.018 2.897 5.012
-5.018 2.897 5.012
0.000 -5.794 5.012
Tb Er Cd
1 1 17
Direct
0.000 0.000 0.000
0.350 0.350 0.350
0.055 0.055 0.445
0.055 0.445 0.055
0.142 0.698 0.698
0.331 0.331 0.789
0.331 0.789 0.331
0.367 0.670 0.979
0.367 0.979 0.670
0.445 0.055 0.055
0.570 0.570 0.570
0.670 0.367 0.979
0.670 0.979 0.367
0.698 0.142 0.698
0.698 0.698 0.142
0.762 0.762 0.762
0.789 0.331 0.331
0.979 0.367 0.670
0.979 0.670 0.367
```

=====

The following is a PBE calculation of crystalline BaMgRh at its relaxed geometry, from Alexandria.

- Formation energy: -0.15 eV/atom
- N(E_F): 0.71 states/eV/atom
- Space-group type: No. 187
- Spin magnetization: 0.0 μB per formula unit

The structure in POSCAR format:
```
BaMgRh
1.0
4.560 0.000 0.000
-2.280 3.949 0.000
0.000 0.000 4.749
Ba Mg Rh
1 1 1
Direct
0.000 0.000 0.000
0.667 0.333 0.500
0.333 0.667 0.500
```

=====

The following is a PBE calculation of crystalline VOsN3 at its relaxed geometry, from Alexandria.

- N(E_F): 0.60 states/eV/atom
- Space-group type: No. 221
- Uncorrected formation energy: 1.258 eV per atom
- Spin magnetization: 0.0 μB per formula unit

The structure in POSCAR format:
```
VOsN3
1.0
3.748 0.000 0.000
0.000 3.748 0.000
0.000 0.000 3.748
V Os N
1 1 3
Direct
0.000 0.000 0.000
0.500 0.500 0.500
0.000 0.000 0.500
0.000 0.500 0.000
0.500 0.000 0.000
```

=====

The following is a PBE calculation of crystalline CaCoCl2 at its relaxed geometry, from Alexandria.

- ΔE to the lowest computed polymorph: 1.02 eV per formula unit
- N(E_F): 0.89 states/eV/atom
- Space-group type: No. 69
- Uncorrected formation energy: -0.673 eV per atom
- Spin magnetization: 1.3 μB per formula unit

The structure in POSCAR format:
```
CaCoCl2
1.0
0.000 3.620 3.804
3.392 0.000 3.804
3.392 3.620 0.000
Ca Co Cl
1 1 2
Direct
0.000 0.000 0.000
0.500 0.500 0.500
0.000 0.500 0.500
0.500 0.000 0.000
```

=====

The following is a PBE calculation of crystalline PRu2W at its relaxed geometry, from Alexandria.

- Formation energy: -0.20 eV/atom
- N(E_F): 0.63 states/eV/atom
- Space-group type: No. 44
- Spin magnetization: 0.0 μB per formula unit

The structure in POSCAR format:
```
PRu2W
1.0
-1.452 2.188 4.371
1.452 -2.188 4.371
1.452 2.188 -4.371
P Ru W
1 2 1
Direct
0.000 0.000 0.000
0.508 0.508 0.000
0.793 0.293 0.500
0.228 0.728 0.500
```

=====

The following is a PBE calculation of crystalline Er5Cd4In at its relaxed geometry, from Alexandria.

- Formation energy: -0.35 eV/atom
- N(E_F): 0.85 states/eV/atom
- Space-group type: No. 123
- Spin magnetization: 0.0 μB per formula unit

The structure in POSCAR format:
```
Er5Cd4In
1.0
3.719 0.000 0.000
0.000 3.719 0.000
0.000 0.000 18.548
Er Cd In
5 4 1
Direct
0.000 0.000 0.000
0.000 0.000 0.200
0.000 0.000 0.398
0.000 0.000 0.602
0.000 0.000 0.800
0.500 0.500 0.100
0.500 0.500 0.298
0.500 0.500 0.702
0.500 0.500 0.900
0.500 0.500 0.500
```

=====

| no. | E (eV for the cell shown) |
| --- | --- |
| 1 | -26.61 |
| 2 | -11.31 |
| 3 | -39.03 |
| 4 | -15.49 |
| 5 | -37.70 |
| 6 | -32.67 |